Entry i
The following is a DFT calculation (PBE) of crystalline Tb12Ho2Er5 at its relaxed geometry.

Cell and atoms, written as POSCAR:
```
Tb12Ho2Er5
1.0
-8.706 -2.002 -1.943
5.321 -6.150 4.002
-2.393 3.073 7.557
Tb Er Ho
12 5 2
direct
0.179 0.746 0.334 Tb
0.089 0.179 0.884 Tb
0.336 0.308 0.241 Tb
0.441 0.882 0.663 Tb
0.028 0.692 0.759 Tb
0.664 0.692 0.759 Tb
0.433 0.254 0.666 Tb
0.559 0.118 0.337 Tb
0.911 0.821 0.116 Tb
0.567 0.746 0.334 Tb
0.821 0.254 0.666 Tb
0.972 0.308 0.241 Tb
0.768 0.537 0.428 Er
0.000 0.000 0.500 Er
0.301 0.602 0.985 Er
0.232 0.463 0.572 Er
0.699 0.398 0.015 Er
0.324 0.000 0.000 Ho
0.676 0.000 0.000 Ho
```

Properties
**ρ**: 8.391 g/cm3
**M_tot**: 0.0 μB per formula unit

=====

Entry ii
The following is a DFT calculation (PBE) of crystalline Tb12Ho2Er5 at its relaxed geometry.

Cell and atoms, written as POSCAR:
```
Tb12Ho2Er5
1.0
6.570 -0.730 -1.300
-4.107 8.530 -1.248
-1.847 -0.679 11.918
Ho Tb Er
2 12 5
direct
0.714 0.998 0.954 Ho
0.286 0.002 0.046 Ho
0.701 0.644 0.966 Tb
0.833 0.800 0.738 Tb
0.167 0.200 0.262 Tb
0.820 0.140 0.704 Tb
0.900 0.417 0.124 Tb
0.299 0.356 0.034 Tb
0.742 0.202 0.350 Tb
0.180 0.860 0.296 Tb
0.100 0.583 0.876 Tb
0.628 0.380 0.571 Tb
0.258 0.798 0.650 Tb
0.372 0.620 0.429 Tb
0.233 0.441 0.647 Er
0.767 0.559 0.353 Er
0.440 0.213 0.812 Er
0.560 0.787 0.188 Er
0.000 0.000 0.500 Er
```

Properties
**ρ**: 8.494 g/cm3
**M_tot**: 0.0 μB per formula unit

=====

Ranking the structures above by stability puts entry ii first and entry i last.